1.
The following is a PBE calculation of an optimized crystal structure of AlReW2, from the Alexandria database.

Output
VASP energy ... -10.51 eV/atom
Space group ... Cmm2, No. 35
Formation energy from the elements ... 0.4 kcal/mol of atoms
DOS at the Fermi energy ... 0.585 states/eV per atom

abc: 2.742 2.742 8.773
angles: 90.00 90.00 109.85
Fractional positions:
Al (0.000, 0.000, 0.000)
Re (0.500, 0.500, 0.244)
W (0.000, 0.000, 0.494)
W (0.500, 0.500, 0.750)

=====

2.
The following is a PBE calculation of an optimized crystal structure of AlReW2, from the Alexandria database.

Output
VASP energy ... -10.36 eV/atom
Space group ... R3m, No. 160
Formation energy from the elements ... 3.9 kcal/mol of atoms
DOS at the Fermi energy ... 0.707 states/eV per atom

abc: 9.207 9.207 9.207
angles: 17.67 17.67 17.67
Fractional positions:
Al (0.000, 0.000, 0.000)
Re (0.253, 0.253, 0.253)
W (0.506, 0.506, 0.506)
W (0.751, 0.751, 0.751)

=====

3.
The following is a PBE calculation of an optimized crystal structure of YAlRe2W, from the Alexandria database.

Output
VASP energy ... -8.35 eV/atom
Space group ... P4/mmm, No. 123
Formation energy from the elements ... 29.1 kcal/mol of atoms
DOS at the Fermi energy ... 1.062 states/eV per atom

abc: 4.593 4.593 4.640
angles: 90.00 90.00 90.00
Fractional positions:
Y (0.000, 0.000, 0.000)
Al (0.500, 0.500, 0.500)
Re (0.000, 0.500, 0.500)
Re (0.500, 0.000, 0.500)
W (0.500, 0.500, 0.000)

=====

4.
The following is a PBE calculation of an optimized crystal structure of YAl2Re, from the Alexandria database.

Output
VASP energy ... -6.65 eV/atom
Energy above the most stable polymorph in this dataset ... 174 meV per atom
Space group ... Amm2, No. 38
Formation energy from the elements ... -1.3 kcal/mol of atoms
DOS at the Fermi energy ... 0.488 states/eV per atom

abc: 4.013 5.641 5.641
angles: 35.13 90.00 90.00
Fractional positions:
Y (0.000, 0.000, 0.000)
Al (0.000, 0.746, 0.746)
Al (0.500, 0.612, 0.612)
Re (0.500, 0.315, 0.315)

=====

5.
The following is a PBE calculation of an optimized crystal structure of YAlRe2, from the Alexandria database.

Output
VASP energy ... -8.68 eV/atom
Space group ... Pm, No. 6
Formation energy from the elements ... 2.1 kcal/mol of atoms
DOS at the Fermi energy ... 0.597 states/eV per atom

abc: 3.100 4.426 5.391
angles: 90.00 102.38 90.00
Fractional positions:
Y (0.000, 0.000, 0.000)
Al (0.599, 0.500, 0.239)
Re (0.272, 0.500, 0.661)
Re (0.557, 0.000, 0.508)

=====

6.
The following is a PBE calculation of an optimized crystal structure of YAl2Re, from the Alexandria database.

Output
VASP energy ... -6.49 eV/atom
Energy above the most stable polymorph in this dataset ... 337 meV per atom
Space group ... R-3m, No. 166
Formation energy from the elements ... 2.5 kcal/mol of atoms
DOS at the Fermi energy ... 0.606 states/eV per atom

abc: 9.564 9.564 9.564
angles: 18.28 18.28 18.28
Fractional positions:
Y (0.000, 0.000, 0.000)
Al (0.237, 0.237, 0.237)
Al (0.763, 0.763, 0.763)
Re (0.500, 0.500, 0.500)

=====

- Which of these has the highest formation energy from the elements?
  YAlRe2W

=====

- Which of these has the lowest VASP energy?
  number 1